(1)
VASP calculation (PBEsol) on CdSb2Cl after structural relaxation.

The uncorrected formation energy comes out at -0.170 eV/atom. The value obtained for the spin magnetization is 0.0001 μB per atom. Its density of states at the Fermi level is 0.314 states/eV per atom.

It has space group Cm (No. 8), with a = 9.835 Å, b = 3.393 Å, c = 6.751 Å, α = 90.00°, β = 111.46° and γ = 90.00°. The asymmetric unit holds Cd at (0.000, 0.000, 0.000), Sb at (0.073, 0.500, 0.401), Sb at (0.362, 0.000, 0.609) and Cl at (0.229, 0.500, 0.027).


(2)
VASP calculation (PBEsol) on LaBe2Os after structural relaxation.

The value obtained for the spin magnetization is 0.0000 μB per atom. For the formation energy, the calculation gives 544 meV per atom. Its density of states at the Fermi level is 0.548 states/eV per atom.

It has space group C2/m (No. 12), with a = 5.342 Å, b = 7.197 Å, c = 3.118 Å, α = 90.00°, β = 90.32° and γ = 90.00°. The asymmetric unit holds La at (0.000, 0.000, 0.000), Be at (0.250, 0.250, 0.500) and Os at (0.000, 0.500, 0.000).


(3)
VASP calculation (PBEsol) on Sc2NiPb after structural relaxation.

The value obtained for the spin magnetization is 0.0000 μB per atom. For the formation energy, the calculation gives -422 meV per atom. Its density of states at the Fermi level is 0.658 states/eV per atom.

It has space group P4/mmm (No. 123), with a = 3.238 Å, b = 3.238 Å, c = 7.380 Å, α = 90.00°, β = 90.00° and γ = 90.00°. The asymmetric unit holds Sc at (0.000, 0.000, 0.202), Ni at (0.500, 0.500, 0.000) and Pb at (0.500, 0.500, 0.500).


(4)
VASP calculation (PBEsol) on BaSrLa2 after structural relaxation.

The value obtained for the spin magnetization is 0.0001 μB per atom. For the formation energy, the calculation gives 87 meV per atom. Its density of states at the Fermi level is 1.357 states/eV per atom.

It has space group P4mm (No. 99), with a = 3.851 Å, b = 3.851 Å, c = 11.547 Å, α = 90.00°, β = 90.00° and γ = 90.00°. The asymmetric unit holds Ba at (0.000, 0.000, 0.000), Sr at (0.500, 0.500, 0.707), La at (0.000, 0.000, 0.454) and La at (0.500, 0.500, 0.257).


(5)
VASP calculation (PBEsol) on BaSb2RhO after structural relaxation.

The uncorrected formation energy comes out at -0.119 eV/atom. The value obtained for the spin magnetization is 0.1303 μB per atom. Its density of states at the Fermi level is 0.500 states/eV per atom.

It has space group P4/mmm (No. 123), with a = 4.829 Å, b = 4.829 Å, c = 6.516 Å, α = 90.00°, β = 90.00° and γ = 90.00°. The asymmetric unit holds Ba at (0.000, 0.000, 0.000), Sb at (0.000, 0.500, 0.500), Rh at (0.000, 0.000, 0.500) and O at (0.500, 0.500, 0.000).


(6)
VASP calculation (PBEsol) on Mg2ScCu after structural relaxation.

The value obtained for the spin magnetization is 0.0001 μB per atom. For the formation energy, the calculation gives -27 meV per atom. Its density of states at the Fermi level is 0.549 states/eV per atom.

It has space group Amm2 (No. 38), with a = 3.794 Å, b = 3.360 Å, c = 12.439 Å, α = 90.00°, β = 90.00° and γ = 90.00°. The asymmetric unit holds Mg at (0.000, 0.000, 0.000), Mg at (0.500, 0.000, 0.370), Sc at (0.000, 0.000, 0.722) and Cu at (0.500, 0.000, 0.145).